DFT (PBE) results for an optimized crystal structure of Ga2Cu7.

a b c (Å): 12.5758 12.5758 12.5758
angles (deg): 22.27 22.27 22.27
Last column: nearest neighbours and their distance in Å.
Positions (direct):
Ga: 0.0401 0.0401 0.0401  12 Cu 2.84-2.87, 1 Ga 2.95
Ga: 0.1493 0.1493 0.1493  12 Cu 2.76-2.95, 3 Ga 3.08
Ga: 0.8507 0.8507 0.8507  12 Cu 2.76-2.95, 3 Ga 3.08
Ga: 0.9599 0.9599 0.9599  12 Cu 2.84-2.87, 1 Ga 2.95
Cu: 0.0000 0.5000 0.5000  8 Cu 2.43-2.52
Cu: 0.1096 0.6152 0.6152  7 Cu 2.40-2.51
Cu: 0.2764 0.2764 0.2764  6 Cu 2.50-2.52
Cu: 0.3848 0.3848 0.8904  7 Cu 2.40-2.51
Cu: 0.3848 0.8904 0.3848  7 Cu 2.40-2.51
Cu: 0.3903 0.3903 0.3903  9 Cu 2.51-2.80
Cu: 0.5000 0.0000 0.5000  8 Cu 2.43-2.52
Cu: 0.5000 0.5000 0.0000  8 Cu 2.43-2.52
Cu: 0.5000 0.5000 0.5000  6 Cu 2.42
Cu: 0.6097 0.6097 0.6097  9 Cu 2.51-2.80
Cu: 0.6152 0.1096 0.6152  7 Cu 2.40-2.51
Cu: 0.6152 0.6152 0.1096  7 Cu 2.40-2.51
Cu: 0.7236 0.7236 0.7236  6 Cu 2.50-2.52
Cu: 0.8904 0.3848 0.3848  7 Cu 2.40-2.51

Properties
ΔE_f   0.080 eV per atom
Density of states at the Fermi level   7.7 states/eV/cell

=====

DFT (PBE) results for an optimized crystal structure of CaSiRu.

a b c (Å): 4.5250 4.5250 4.5250
angles (deg): 60.00 60.00 60.00
Last column: nearest neighbours and their distance in Å.
Positions (direct):
Ca: 0.0000 0.0000 0.0000  4 Ru 2.77, 4 Si 2.77
Si: 0.7500 0.7500 0.7500  4 Ca 2.77
Ru: 0.2500 0.2500 0.2500  4 Ca 2.77

Properties
Density of states at the Fermi level   4.9 states/eV/cell
Uncorrected formation energy   1107 meV/atom

=====

DFT (PBE) results for an optimized crystal structure of Y2Fe3C2.

a b c (Å): 5.0723 5.0723 6.5669
angles (deg): 116.61 116.61 38.40
Last column: nearest neighbours and their distance in Å.
Positions (direct):
Y: 0.1273 0.1273 0.2784  4 C 2.68-2.88, 5 Fe 2.84-2.93
Y: 0.8727 0.8727 0.7216  4 C 2.68-2.88, 5 Fe 2.84-2.93
Fe: 0.3415 0.3415 0.0856  3 C 2.04-2.12
Fe: 0.5000 0.5000 0.5000  4 C 2.30, 2 Fe 2.41
Fe: 0.6585 0.6585 0.9144  3 C 2.04-2.12
C: 0.1588 0.1588 0.7367  3 Fe 2.04-2.12
C: 0.8412 0.8412 0.2633  3 Fe 2.04-2.12

Properties
ΔE_f   0.062 eV per atom
Density of states at the Fermi level   4.3 states/eV/cell

=====

DFT (PBE) results for an optimized crystal structure of PaCuRu.

a b c (Å): 5.1106 5.1106 5.1106
angles (deg): 139.61 139.61 58.45
Last column: nearest neighbours and their distance in Å.
Positions (direct):
Pa: 0.0000 0.0000 0.0000  4 Ru 2.78, 5 Cu 2.79-3.00
Cu: 0.6869 0.6869 0.0000  5 Pa 2.79-3.00, 5 Ru 2.89-2.95
Ru: 0.3628 0.3628 0.0000  4 Pa 2.78, 5 Cu 2.89-2.95

Properties
ΔE_f   -0.069 eV per atom
Density of states at the Fermi level   2.8 states/eV/cell

=====

DFT (PBE) results for an optimized crystal structure of NdYSi2Pt2.

a b c (Å): 4.1634 4.1634 8.3472
angles (deg): 90.00 90.00 120.00
Last column: nearest neighbours and their distance in Å.
Positions (direct):
Nd: 0.0000 0.0000 0.0000  6 Si 3.21, 6 Pt 3.24
Y: 0.0000 0.0000 0.5000  6 Pt 3.13, 6 Si 3.15
Si: 0.3333 0.6667 0.7443  3 Pt 2.40
Si: 0.6667 0.3333 0.2557  3 Pt 2.40
Pt: 0.3333 0.6667 0.2605  3 Si 2.40
Pt: 0.6667 0.3333 0.7395  3 Si 2.40

Properties
Density of states at the Fermi level   4.6 states/eV/cell
Uncorrected formation energy   -1140 meV/atom

=====

DFT (PBE) results for an optimized crystal structure of Zn2FeIr6.

a b c (Å): 5.0514 6.8738 8.6774
angles (deg): 112.11 95.63 96.56
Last column: nearest neighbours and their distance in Å.
Positions (direct):
Zn: 0.1018 0.2662 0.4681  6 Ir 2.58-2.76, 1 Zn 2.68, 1 Fe 2.89
Zn: 0.1035 0.6538 0.2445  8 Ir 2.60-2.81, 1 Zn 2.68, 1 Fe 2.88
Zn: 0.8965 0.3462 0.7555  8 Ir 2.60-2.81, 1 Zn 2.68, 1 Fe 2.88
Zn: 0.8982 0.7338 0.5319  6 Ir 2.58-2.76, 1 Zn 2.68, 1 Fe 2.89
Fe: 0.2792 0.0101 0.1599  9 Ir 2.57-2.76
Fe: 0.7208 0.9899 0.8401  9 Ir 2.57-2.76
Ir: 0.1494 0.2655 0.0228  2 Fe 2.57-2.63, 7 Ir 2.64-2.76, 2 Zn 2.69-2.81
Ir: 0.2087 0.8748 0.8191  1 Zn 2.58, 3 Fe 2.59-2.72, 6 Ir 2.62-2.77
Ir: 0.3294 0.6149 0.9615  8 Ir 2.62-2.75, 1 Fe 2.67, 2 Zn 2.69-2.74
Ir: 0.3651 0.2128 0.7406  7 Ir 2.58-2.80, 3 Zn 2.63-2.76, 1 Fe 2.76
Ir: 0.4120 0.8386 0.5344  6 Ir 2.58-2.77, 3 Zn 2.60-2.64, 1 Fe 2.70
Ir: 0.4792 0.4306 0.3312  7 Ir 2.61-2.80, 3 Zn 2.70-2.79, 1 Fe 2.72
Ir: 0.5208 0.5694 0.6688  7 Ir 2.61-2.80, 3 Zn 2.70-2.79, 1 Fe 2.72
Ir: 0.5880 0.1614 0.4656  6 Ir 2.58-2.77, 3 Zn 2.60-2.64, 1 Fe 2.70
Ir: 0.6349 0.7872 0.2594  7 Ir 2.58-2.80, 3 Zn 2.63-2.76, 1 Fe 2.76
Ir: 0.6706 0.3851 0.0385  8 Ir 2.62-2.75, 1 Fe 2.67, 2 Zn 2.69-2.74
Ir: 0.7913 0.1252 0.1809  1 Zn 2.58, 3 Fe 2.59-2.72, 6 Ir 2.62-2.77
Ir: 0.8506 0.7345 0.9772  2 Fe 2.57-2.63, 7 Ir 2.64-2.76, 2 Zn 2.69-2.81

Properties
ΔE_f   0.068 eV per atom
Density of states at the Fermi level   16.2 states/eV/cell

=====

DFT (PBE) results for an optimized crystal structure of Ac2CdSeO6.

a b c (Å): 5.9220 5.9220 4.6550
angles (deg): 90.00 90.00 90.00
Last column: nearest neighbours and their distance in Å.
Positions (direct):
Ac: 0.0000 0.5000 0.0000  4 O 2.53
Ac: 0.5000 0.0000 0.0000  4 O 2.53
Cd: 0.0000 0.0000 0.5632  5 O 2.15-2.29
Se: 0.5000 0.5000 0.6069  1 O 1.79
O: 0.0000 0.0000 0.1009  1 Cd 2.15
O: 0.2630 0.2630 0.6948  1 Se 2.03
O: 0.2630 0.7370 0.6948  1 Se 2.03
O: 0.5000 0.5000 0.2233  1 Se 1.79
O: 0.7370 0.2630 0.6948  1 Se 2.03
O: 0.7370 0.7370 0.6948  1 Se 2.03

Properties
Density of states at the Fermi level   0.0 states/eV/cell
Uncorrected formation energy   -1961 meV/atom

=====

DFT (PBE) results for an optimized crystal structure of Mg5ZnIn2Ag2.

a b c (Å): 11.8378 11.8378 3.1002
angles (deg): 90.00 90.00 90.00
Last column: nearest neighbours and their distance in Å.
Positions (direct):
Mg: 0.0000 0.5000 0.0000  4 Ag 2.78, 2 Mg 3.10
Mg: 0.0285 0.1961 0.0000  2 Zn 2.81, 2 Ag 2.82, 2 Mg 3.10
Mg: 0.1961 0.9715 0.0000  2 Zn 2.81, 2 Ag 2.82, 2 Mg 3.10
Mg: 0.3039 0.4715 0.0000  2 Zn 2.81, 2 Ag 2.82, 2 Mg 3.10
Mg: 0.4715 0.6961 0.0000  2 Zn 2.81, 2 Ag 2.82, 2 Mg 3.10
Mg: 0.5000 0.0000 0.0000  4 Ag 2.78, 2 Mg 3.10
Mg: 0.5285 0.3039 0.0000  2 Zn 2.81, 2 Ag 2.82, 2 Mg 3.10
Mg: 0.6961 0.5285 0.0000  2 Zn 2.81, 2 Ag 2.82, 2 Mg 3.10
Mg: 0.8039 0.0285 0.0000  2 Zn 2.81, 2 Ag 2.82, 2 Mg 3.10
Mg: 0.9715 0.8039 0.0000  2 Zn 2.81, 2 Ag 2.82, 2 Mg 3.10
Zn: 0.0000 0.0000 0.5000  8 Mg 2.81, 2 Zn 3.10
Zn: 0.5000 0.5000 0.5000  8 Mg 2.81, 2 Zn 3.10
In: 0.1862 0.6862 0.5000  1 Ag 2.95, 2 In 3.10, 4 Mg 3.29
In: 0.3138 0.1862 0.5000  1 Ag 2.95, 2 In 3.10, 4 Mg 3.29
In: 0.6862 0.8138 0.5000  1 Ag 2.95, 2 In 3.10, 4 Mg 3.29
In: 0.8138 0.3138 0.5000  1 Ag 2.95, 2 In 3.10, 4 Mg 3.29
Ag: 0.1377 0.3623 0.5000  6 Mg 2.78-2.82, 1 In 2.95, 2 Ag 3.10
Ag: 0.3623 0.8623 0.5000  6 Mg 2.78-2.82, 1 In 2.95, 2 Ag 3.10
Ag: 0.6377 0.1377 0.5000  6 Mg 2.78-2.82, 1 In 2.95, 2 Ag 3.10
Ag: 0.8623 0.6377 0.5000  6 Mg 2.78-2.82, 1 In 2.95, 2 Ag 3.10

Properties
ΔE_f   -0.059 eV per atom
Density of states at the Fermi level   7.1 states/eV/cell

=====

VASP energy readings, ordered: -3.7781 -4.4595 -8.0469 -7.6916 -6.8330 -7.0632 -6.1975 -2.1017 eV/atom